Version a
A geometry-optimized ZnHg2Te2 structure, computed with PBE-GGA.

Summary:
* N(E_F): 1.67 states/eV/cell

CIF file:
```
data_ZnHg2Te2
_symmetry_space_group_name_H-M 'I 4/m m m'
_symmetry_Int_Tables_number 139
_symmetry_space_group_name_Hall '-I 4 2'
_cell_length_a 4.6553
_cell_length_b 4.6553
_cell_length_c 15.0093
_cell_angle_alpha 90.00
_cell_angle_beta 90.00
_cell_angle_gamma 90.00
loop_
_atom_site_label
_atom_site_type_symbol
_atom_site_fract_x
_atom_site_fract_y
_atom_site_fract_z
Zn1 Zn 0.0000 0.0000 0.0000
Hg1 Hg 0.0000 0.5000 0.2500
Te1 Te 0.0000 0.0000 0.3737
```



Version b
A geometry-optimized ZnHg2Te2 structure, computed with PBE-GGA.

Summary:
* N(E_F): 3.41 states/eV/cell

CIF file:
```
data_ZnHg2Te2
_symmetry_space_group_name_H-M 'P 4/m b m'
_symmetry_Int_Tables_number 127
_symmetry_space_group_name_Hall '-P 4 2ab'
_cell_length_a 8.1910
_cell_length_b 8.1910
_cell_length_c 4.5965
_cell_angle_alpha 90.00
_cell_angle_beta 90.00
_cell_angle_gamma 90.00
loop_
_atom_site_label
_atom_site_type_symbol
_atom_site_fract_x
_atom_site_fract_y
_atom_site_fract_z
Zn1 Zn 0.0000 0.0000 0.0000
Hg1 Hg 0.1181 0.3819 0.5000
Te1 Te 0.2283 0.7283 0.0000
```



We find version b to be the most stable, with the next structure 0.128 eV/atom higher.



Version a
A geometry-optimized Zn2HgTe2 structure, computed with PBE-GGA.

Summary:
* N(E_F): 0.00 states/eV/cell

CIF file:
```
data_Zn2HgTe2
_symmetry_space_group_name_H-M 'I 4/m m m'
_symmetry_Int_Tables_number 139
_symmetry_space_group_name_Hall '-I 4 2'
_cell_length_a 4.2860
_cell_length_b 4.2860
_cell_length_c 17.4242
_cell_angle_alpha 90.00
_cell_angle_beta 90.00
_cell_angle_gamma 90.00
loop_
_atom_site_label
_atom_site_type_symbol
_atom_site_fract_x
_atom_site_fract_y
_atom_site_fract_z
Zn1 Zn 0.0000 0.5000 0.2500
Hg1 Hg 0.0000 0.0000 0.0000
Te1 Te 0.0000 0.0000 0.3471
```



Version b
A geometry-optimized Zn2HgTe2 structure, computed with PBE-GGA.

Summary:
* N(E_F): 3.29 states/eV/cell

CIF file:
```
data_Zn2HgTe2
_symmetry_space_group_name_H-M 'I 4/m m m'
_symmetry_Int_Tables_number 139
_symmetry_space_group_name_Hall '-I 4 2'
_cell_length_a 4.7590
_cell_length_b 4.7590
_cell_length_c 11.9134
_cell_angle_alpha 90.00
_cell_angle_beta 90.00
_cell_angle_gamma 90.00
loop_
_atom_site_label
_atom_site_type_symbol
_atom_site_fract_x
_atom_site_fract_y
_atom_site_fract_z
Zn1 Zn 0.0000 0.0000 0.1016
Hg1 Hg 0.0000 0.0000 0.5000
Te1 Te 0.0000 0.5000 0.2500
```



We find version a to be the most stable, with the next structure 0.319 eV/atom higher.